# GGA+U Na3Er2CrO6, relaxed
# - electronic total energy (hartree per atom) = -0.246
# - D(E_F) (states/eV per atom) = 0.00
# - density (g/cm3) = 6.0
# - magnetic moment (μB/f.u.) = 3.00
# - crystal system = monoclinic
data_Na3Er2CrO6
_chemical_formula_sum 'Na6 Er4 Cr2 O12'
_cell_length_a 5.6627
_cell_length_b 9.8210
_cell_length_c 5.8387
_cell_angle_alpha 90.00
_cell_angle_beta 108.57
_cell_angle_gamma 90.00
_space_group_name_H-M_alt 'C 1 2/m 1'
_space_group_IT_number 12
loop_
_space_group_symop_operation_xyz
'x,y,z'
'-x,-y,-z'
'-x,y,-z'
'x,-y,z'
'x+1/2,y+1/2,z'
'-x+1/2,-y+1/2,-z'
'-x+1/2,y+1/2,-z'
'x+1/2,-y+1/2,z'
loop_
_atom_site_label
_atom_site_fract_x
_atom_site_fract_y
_atom_site_fract_z
_atom_site_occupancy
Na1 0.0000 0.0000 0.0000 1
Na2 0.0000 0.3426 0.0000 1
Er1 0.0000 0.1671 0.5000 1
Cr1 0.0000 0.5000 0.5000 1
O1 0.2245 0.3436 0.7071 1
O2 0.2459 0.5000 0.2962 1